Record 1
Material: SmThAgGe
Method: DFT, PBE
State: relaxed

Results
- Crystal system: cubic
- Formation enthalpy at 0 K: -0.39 eV per atom
- Spin magnetization: 0.00 μB per atom
- SG: F-43m (216)
- Final energy: -21.16 eV for the cell shown

Cell: 5.2170 5.2170 5.2170 Å, 60.00 60.00 60.00°
Fractional coordinates of all 4 atoms:
Ge (0.7500, 0.7500, 0.7500)
Th (0.0000, 0.0000, 0.0000)
Sm (0.5000, 0.5000, 0.5000)
Ag (0.2500, 0.2500, 0.2500)


Record 2
Material: SmTmAgGe
Method: DFT, PBE
State: relaxed

Results
- Crystal system: cubic
- Formation enthalpy at 0 K: -0.51 eV per atom
- Spin magnetization: 0.00 μB per atom
- SG: F-43m (216)
- Final energy: -18.70 eV for the cell shown

Cell: 5.1031 5.1031 5.1031 Å, 60.00 60.00 60.00°
Fractional coordinates of all 4 atoms:
Sm (0.5000, 0.5000, 0.5000)
Ag (0.7500, 0.7500, 0.7500)
Ge (0.2500, 0.2500, 0.2500)
Tm (0.0000, 0.0000, 0.0000)


Record 3
Material: SmYAgGe
Method: DFT, PBE
State: relaxed

Results
- Crystal system: cubic
- Formation enthalpy at 0 K: -0.54 eV per atom
- Spin magnetization: 0.00 μB per atom
- SG: F-43m (216)
- Final energy: -20.80 eV for the cell shown

Cell: 5.1401 5.1401 5.1401 Å, 60.00 60.00 60.00°
Fractional coordinates of all 4 atoms:
Sm (0.0000, 0.0000, 0.0000)
Y (0.5000, 0.5000, 0.5000)
Ag (0.7500, 0.7500, 0.7500)
Ge (0.2500, 0.2500, 0.2500)


Record 4
Material: Ag2SnGe2
Method: DFT, PBE
State: relaxed

Results
- Crystal system: tetragonal
- Formation enthalpy at 0 K: 0.20 eV per atom
- Spin magnetization: 0.00 μB per atom
- SG: P4/mbm (127)
- Final energy: -35.85 eV for the cell shown

Cell: 8.2958 8.2958 3.0032 Å, 90.00 90.00 90.00°
Fractional coordinates of all 10 atoms:
Ge (0.8309, 0.6691, 0.0000)
Ge (0.6691, 0.1691, 0.0000)
Ge (0.3309, 0.8309, 0.0000)
Ge (0.1691, 0.3309, 0.0000)
Ag (0.1260, 0.6260, 0.5000)
Ag (0.6260, 0.8740, 0.5000)
Ag (0.8740, 0.3740, 0.5000)
Ag (0.3740, 0.1260, 0.5000)
Sn (0.0000, 0.0000, 0.0000)
Sn (0.5000, 0.5000, 0.0000)


Record 5
Material: Ag2Sn2Ge
Method: DFT, PBE
State: relaxed

Results
- Crystal system: tetragonal
- Formation enthalpy at 0 K: 0.34 eV per atom
- Spin magnetization: 0.00 μB per atom
- SG: I4/mmm (139)
- Final energy: -16.60 eV for the cell shown

Cell: 4.2680 4.2680 7.2778 Å, 72.95 72.95 90.00°
Fractional coordinates of all 5 atoms:
Sn (0.7500, 0.2500, 0.5000)
Sn (0.2500, 0.7500, 0.5000)
Ge (0.0000, 0.0000, 0.0000)
Ag (0.4005, 0.4005, 0.1990)
Ag (0.5995, 0.5995, 0.8010)


Record 6
Material: Ag14SnGe
Method: DFT, PBE
State: relaxed

Results
- Crystal system: orthorhombic
- Formation enthalpy at 0 K: 0.05 eV per atom
- Spin magnetization: 0.00 μB per atom
- SG: Amm2 (38)
- Final energy: -47.70 eV for the cell shown

Cell: 5.9486 5.9486 9.5472 Å, 90.00 90.00 119.75°
Fractional coordinates of all 16 atoms:
Ag (0.5420, 0.9620, 0.5000)
Ag (0.2084, 0.7916, 0.0000)
Ag (0.2088, 0.2933, 0.0000)
Ag (0.7081, 0.2919, 0.0000)
Ag (0.0380, 0.4580, 0.5000)
Ag (0.8750, 0.1250, 0.7534)
Ag (0.3788, 0.1256, 0.2463)
Ag (0.3788, 0.1256, 0.7537)
Ag (0.3762, 0.6238, 0.2499)
Ag (0.8744, 0.6212, 0.2463)
Ag (0.3762, 0.6238, 0.7501)
Ag (0.8744, 0.6212, 0.7537)
Ag (0.8750, 0.1250, 0.2466)
Ag (0.7067, 0.7912, 0.0000)
Ge (0.5381, 0.4619, 0.5000)
Sn (0.0413, 0.9587, 0.5000)


Record 7
Material: Ag2SnGe2
Method: DFT, PBE
State: relaxed

Results
- Crystal system: tetragonal
- Formation enthalpy at 0 K: 0.20 eV per atom
- Spin magnetization: 0.00 μB per atom
- SG: I4/mmm (139)
- Final energy: -17.92 eV for the cell shown

Cell: 4.0489 4.0489 7.0873 Å, 73.40 73.40 90.00°
Fractional coordinates of all 5 atoms:
Ge (0.2500, 0.7500, 0.5000)
Ge (0.7500, 0.2500, 0.5000)
Ag (0.3951, 0.3951, 0.2097)
Ag (0.6049, 0.6049, 0.7903)
Sn (0.0000, 0.0000, 0.0000)


Record 8
Material: AgSnGe3
Method: DFT, PBE
State: relaxed

Results
- Crystal system: cubic
- Formation enthalpy at 0 K: 0.64 eV per atom
- Spin magnetization: 0.00 μB per atom
- SG: Pm-3m (221)
- Final energy: -17.52 eV for the cell shown

Cell: 5.0284 5.0284 5.0284 Å, 90.00 90.00 90.00°
Fractional coordinates of all 5 atoms:
Sn (0.5000, 0.5000, 0.5000)
Ge (0.0000, 0.5000, 0.0000)
Ge (0.5000, 0.0000, 0.0000)
Ge (0.0000, 0.0000, 0.5000)
Ag (0.0000, 0.0000, 0.0000)


Record 9
Material: Ag2Sn2Ge
Method: DFT, PBE
State: relaxed

Results
- Crystal system: tetragonal
- Formation enthalpy at 0 K: 0.21 eV per atom
- Spin magnetization: 0.00 μB per atom
- SG: I4/mmm (139)
- Final energy: -17.30 eV for the cell shown

Cell: 3.8474 3.8474 8.3128 Å, 76.62 76.62 90.00°
Fractional coordinates of all 5 atoms:
Ge (0.0000, 0.0000, 0.0000)
Ag (0.2500, 0.7500, 0.5000)
Ag (0.7500, 0.2500, 0.5000)
Sn (0.3999, 0.3999, 0.2002)
Sn (0.6001, 0.6001, 0.7998)


Record 10
Material: Ag2Sn2Ge
Method: DFT, PBE
State: relaxed

Results
- Crystal system: tetragonal
- Formation enthalpy at 0 K: 0.21 eV per atom
- Spin magnetization: 0.00 μB per atom
- SG: P4/mbm (127)
- Final energy: -34.58 eV for the cell shown

Cell: 8.5973 8.5973 3.0843 Å, 90.00 90.00 90.00°
Fractional coordinates of all 10 atoms:
Sn (0.8191, 0.6809, 0.0000)
Sn (0.1809, 0.3191, 0.0000)
Sn (0.6809, 0.1809, 0.0000)
Sn (0.3191, 0.8191, 0.0000)
Ge (0.5000, 0.5000, 0.0000)
Ge (0.0000, 0.0000, 0.0000)
Ag (0.8832, 0.3832, 0.5000)
Ag (0.6168, 0.8832, 0.5000)
Ag (0.1168, 0.6168, 0.5000)
Ag (0.3832, 0.1168, 0.5000)


Record 11
Material: Ag5Sn12Ge3
Method: DFT, PBE
State: relaxed

Results
- Crystal system: cubic
- Formation enthalpy at 0 K: 0.20 eV per atom
- Spin magnetization: 0.00 μB per atom
- SG: Ia-3d (230)
- Final energy: -288.34 eV for the cell shown

Cell: 14.4280 14.4280 14.4280 Å, 109.47 109.47 109.47°
Fractional coordinates of all 80 atoms:
Sn (0.0874, 0.9220, 0.3605)
Sn (0.8605, 0.2731, 0.4385)
Sn (0.3346, 0.5615, 0.4220)
Sn (0.1395, 0.7269, 0.5615)
Sn (0.8346, 0.9220, 0.0615)
Sn (0.7731, 0.3346, 0.9126)
Sn (0.4220, 0.3605, 0.5874)
Sn (0.9126, 0.8346, 0.7731)
Sn (0.9126, 0.0780, 0.6395)
Sn (0.2269, 0.6654, 0.0874)
Sn (0.5615, 0.3346, 0.9220)
Sn (0.3605, 0.4220, 0.0874)
Sn (0.6654, 0.4385, 0.5780)
Sn (0.8605, 0.5874, 0.9220)
Sn (0.7269, 0.1395, 0.0615)
Sn (0.3605, 0.9385, 0.7731)
Sn (0.9385, 0.5780, 0.1654)
Sn (0.2731, 0.8605, 0.9385)
Sn (0.4385, 0.6654, 0.0780)
Sn (0.5780, 0.6395, 0.4126)
Sn (0.0780, 0.1654, 0.4385)
Sn (0.3346, 0.7731, 0.4126)
Sn (0.8346, 0.9126, 0.2731)
Sn (0.7731, 0.4385, 0.3605)
Sn (0.5615, 0.2269, 0.1395)
Sn (0.4126, 0.1395, 0.5780)
Sn (0.4385, 0.7731, 0.8605)
Sn (0.1654, 0.0780, 0.9385)
Sn (0.1654, 0.0874, 0.7269)
Sn (0.6395, 0.0615, 0.2269)
Sn (0.4126, 0.2731, 0.3346)
Sn (0.0615, 0.4220, 0.8346)
Sn (0.4220, 0.0615, 0.3346)
Sn (0.2269, 0.5615, 0.6395)
Sn (0.9220, 0.8346, 0.5615)
Sn (0.9220, 0.0874, 0.8605)
Sn (0.1395, 0.4126, 0.0780)
Sn (0.9385, 0.3605, 0.2731)
Sn (0.0874, 0.1654, 0.2269)
Sn (0.0780, 0.9126, 0.1395)
Sn (0.2731, 0.4126, 0.8346)
Sn (0.6654, 0.2269, 0.5874)
Sn (0.5874, 0.8605, 0.4220)
Sn (0.0615, 0.6395, 0.7269)
Sn (0.5874, 0.7269, 0.6654)
Sn (0.6395, 0.5780, 0.9126)
Sn (0.5780, 0.9385, 0.6654)
Sn (0.7269, 0.5874, 0.1654)
Ag (0.2500, 0.3750, 0.6250)
Ag (0.5000, 0.0000, 0.0000)
Ag (0.5000, 0.0000, 0.5000)
Ag (0.3750, 0.1250, 0.7500)
Ag (0.1250, 0.3750, 0.2500)
Ag (0.0000, 0.5000, 0.0000)
Ag (0.0000, 0.0000, 0.5000)
Ag (0.8750, 0.2500, 0.6250)
Ag (0.0000, 0.0000, 0.0000)
Ag (0.6250, 0.8750, 0.2500)
Ag (0.1250, 0.7500, 0.3750)
Ag (0.6250, 0.7500, 0.8750)
Ag (0.5000, 0.5000, 0.0000)
Ag (0.0000, 0.5000, 0.5000)
Ag (0.8750, 0.6250, 0.7500)
Ag (0.5000, 0.5000, 0.5000)
Ag (0.2500, 0.8750, 0.1250)
Ag (0.7500, 0.6250, 0.3750)
Ag (0.7500, 0.1250, 0.8750)
Ag (0.3750, 0.2500, 0.1250)
Ge (0.7500, 0.8750, 0.6250)
Ge (0.8750, 0.1250, 0.2500)
Ge (0.6250, 0.2500, 0.3750)
Ge (0.2500, 0.1250, 0.3750)
Ge (0.6250, 0.3750, 0.7500)
Ge (0.3750, 0.6250, 0.2500)
Ge (0.1250, 0.2500, 0.8750)
Ge (0.2500, 0.6250, 0.8750)
Ge (0.1250, 0.8750, 0.7500)
Ge (0.8750, 0.7500, 0.1250)
Ge (0.3750, 0.7500, 0.6250)
Ge (0.7500, 0.3750, 0.1250)


Record 12
Material: Ag2Sn2Ge
Method: DFT, PBE
State: relaxed

Results
- Crystal system: tetragonal
- Formation enthalpy at 0 K: 0.20 eV per atom
- Spin magnetization: 0.00 μB per atom
- SG: P4/mbm (127)
- Final energy: -34.66 eV for the cell shown

Cell: 8.0534 8.0534 3.4993 Å, 90.00 90.00 90.00°
Fractional coordinates of all 10 atoms:
Ag (0.6269, 0.1269, 0.0000)
Ag (0.8731, 0.6269, 0.0000)
Ag (0.3731, 0.8731, 0.0000)
Ag (0.1269, 0.3731, 0.0000)
Sn (0.8269, 0.3269, 0.5000)
Sn (0.6731, 0.8269, 0.5000)
Sn (0.1731, 0.6731, 0.5000)
Sn (0.3269, 0.1731, 0.5000)
Ge (0.5000, 0.5000, 0.0000)
Ge (0.0000, 0.0000, 0.0000)